# 1
# Tb2Ho5ErSc PBE relaxed
# - Formation energy from the elements: 0.163 eV per atom
data_Tb2Ho5ErSc
_symmetry_space_group_name_H-M 'C m c 21'
_symmetry_Int_Tables_number 36
_cell_length_a 5.4952
_cell_length_b 19.8467
_cell_length_c 10.2930
_cell_angle_alpha 90.00
_cell_angle_beta 90.00
_cell_angle_gamma 90.00
loop_
_symmetry_equiv_pos_as_xyz
'x,y,z'
'-x,-y,z+1/2'
'-x,y,z'
'x,-y,z+1/2'
'x+1/2,y+1/2,z'
'-x+1/2,-y+1/2,z+1/2'
'-x+1/2,y+1/2,z'
'x+1/2,-y+1/2,z+1/2'
loop_
_atom_site_label
_atom_site_type_symbol
_atom_site_fract_x
_atom_site_fract_y
_atom_site_fract_z
Tb1 Tb 0.0000 0.1116 0.0000
Tb2 Tb 0.0000 0.1143 0.4232
Ho1 Ho 0.0000 0.0171 0.7038
Ho2 Ho 0.0000 0.2750 0.0072
Ho3 Ho 0.0000 0.3001 0.3915
Ho4 Ho 0.0000 0.3760 0.7077
Ho5 Ho 0.0000 0.4823 0.4273
Er1 Er 0.0000 0.4083 0.1441
Sc1 Sc 0.0000 0.1952 0.7019


# 2
# Sr8SnRh2 PBE relaxed
# - Formation energy from the elements: -0.220 eV per atom
data_Sr8SnRh2
_symmetry_space_group_name_H-M 'P -1'
_symmetry_Int_Tables_number 2
_cell_length_a 7.0153
_cell_length_b 7.8179
_cell_length_c 8.9201
_cell_angle_alpha 105.19
_cell_angle_beta 101.49
_cell_angle_gamma 99.67
loop_
_symmetry_equiv_pos_as_xyz
'x,y,z'
'-x,-y,-z'
loop_
_atom_site_label
_atom_site_type_symbol
_atom_site_fract_x
_atom_site_fract_y
_atom_site_fract_z
Sr1 Sr 0.2123 0.0217 0.3942
Sr2 Sr 0.2539 0.3069 0.8543
Sr3 Sr 0.2600 0.4980 0.3179
Sr4 Sr 0.2717 0.7760 0.7676
Sn1 Sn 0.0000 0.0000 0.0000
Rh1 Rh 0.0536 0.3512 0.5513


# 3
# Re2AuSe PBE relaxed
# - Raw formation energy: 0.839 eV per atom
data_Re2AuSe
_symmetry_space_group_name_H-M 'P 4/m m m'
_symmetry_Int_Tables_number 123
_symmetry_space_group_name_Hall '-P 4 2'
_cell_length_a 4.5012
_cell_length_b 4.5012
_cell_length_c 3.1062
_cell_angle_alpha 90.00
_cell_angle_beta 90.00
_cell_angle_gamma 90.00
loop_
_atom_site_label
_atom_site_type_symbol
_atom_site_fract_x
_atom_site_fract_y
_atom_site_fract_z
Re1 Re 0.0000 0.5000 0.0000
Au1 Au 0.0000 0.0000 0.5000
Se1 Se 0.5000 0.5000 0.5000


# 4
# Ho6Co2Pd PBE relaxed
# - Formation energy from the elements: -0.340 eV per atom
data_Ho6Co2Pd
_symmetry_space_group_name_H-M 'I m m m'
_symmetry_Int_Tables_number 71
_symmetry_space_group_name_Hall '-I 2 2'
_cell_length_a 9.2920
_cell_length_b 9.3558
_cell_length_c 9.6544
_cell_angle_alpha 90.00
_cell_angle_beta 90.00
_cell_angle_gamma 90.00
loop_
_atom_site_label
_atom_site_type_symbol
_atom_site_fract_x
_atom_site_fract_y
_atom_site_fract_z
Ho1 Ho 0.0000 0.1848 0.1748
Ho2 Ho 0.1800 0.2247 0.5000
Ho3 Ho 0.1905 0.5000 0.2570
Co1 Co 0.0000 0.0000 0.3848
Co2 Co 0.1655 0.0000 0.0000
Pd1 Pd 0.0000 0.5000 0.0000
Pd2 Pd 0.0000 0.5000 0.5000


# 5
# HgPb3O PBE relaxed
# - Raw formation energy: -0.252 eV per atom
# - Energy above the lowest structure with this stoichiometry: 0.0 kJ/mol of formula units
data_HgPb3O
_symmetry_space_group_name_H-M 'P m -3 m'
_symmetry_Int_Tables_number 221
_symmetry_space_group_name_Hall '-P 4 2 3'
_cell_length_a 5.0650
_cell_length_b 5.0650
_cell_length_c 5.0650
_cell_angle_alpha 90.00
_cell_angle_beta 90.00
_cell_angle_gamma 90.00
loop_
_atom_site_label
_atom_site_type_symbol
_atom_site_fract_x
_atom_site_fract_y
_atom_site_fract_z
Hg1 Hg 0.0000 0.0000 0.0000
Pb1 Pb 0.0000 0.5000 0.5000
O1 O 0.5000 0.5000 0.5000


# 6
# AlRh PBE relaxed
# - Formation energy from the elements: -0.657 eV per atom
data_AlRh
_symmetry_space_group_name_H-M 'P 1 2/m 1'
_symmetry_Int_Tables_number 10
_cell_length_a 5.8463
_cell_length_b 4.0289
_cell_length_c 7.7410
_cell_angle_alpha 90.00
_cell_angle_beta 107.96
_cell_angle_gamma 90.00
loop_
_symmetry_equiv_pos_as_xyz
'x,y,z'
'-x,-y,-z'
'-x,y,-z'
'x,-y,z'
loop_
_atom_site_label
_atom_site_type_symbol
_atom_site_fract_x
_atom_site_fract_y
_atom_site_fract_z
Al1 Al 0.0000 0.0000 0.0000
Al2 Al 0.0000 0.0000 0.5000
Al3 Al 0.3281 0.0000 0.3101
Al4 Al 0.3519 0.5000 0.6370
Rh1 Rh 0.0602 0.5000 0.3232
Rh2 Rh 0.2915 0.5000 0.0623
Rh3 Rh 0.3318 0.0000 0.8195


# 7
# K2MnIr PBE relaxed
# - Formation energy from the elements: 0.937 eV per atom
# - Energy above the lowest structure with this stoichiometry: 194.2 kJ/mol of formula units
data_K2MnIr
_symmetry_space_group_name_H-M 'I 4/m m m'
_symmetry_Int_Tables_number 139
_symmetry_space_group_name_Hall '-I 4 2'
_cell_length_a 4.0837
_cell_length_b 4.0837
_cell_length_c 10.9135
_cell_angle_alpha 90.00
_cell_angle_beta 90.00
_cell_angle_gamma 90.00
loop_
_atom_site_label
_atom_site_type_symbol
_atom_site_fract_x
_atom_site_fract_y
_atom_site_fract_z
K1 K 0.0000 0.5000 0.2500
Mn1 Mn 0.0000 0.0000 0.0000
Ir1 Ir 0.0000 0.0000 0.5000


# 8
# Pm5NiIr2 PBE relaxed
# - Formation energy from the elements: -0.460 eV per atom
data_Pm5NiIr2
_symmetry_space_group_name_H-M 'I 4/m c m'
_symmetry_Int_Tables_number 140
_symmetry_space_group_name_Hall '-I 4 2c'
_cell_length_a 7.7608
_cell_length_b 7.7608
_cell_length_c 13.6518
_cell_angle_alpha 90.00
_cell_angle_beta 90.00
_cell_angle_gamma 90.00
loop_
_atom_site_label
_atom_site_type_symbol
_atom_site_fract_x
_atom_site_fract_y
_atom_site_fract_z
Pm1 Pm 0.0000 0.0000 0.0000
Pm2 Pm 0.1681 0.3319 0.1398
Ni1 Ni 0.0000 0.0000 0.2500
Ir1 Ir 0.1322 0.3678 0.5000


Number 1: DOS(E_F) 1.594 states/eV per atom. Number 2: DOS(E_F) 0.761 states/eV per atom. Number 3: DOS(E_F) 0.935 states/eV per atom. Number 4: DOS(E_F) 0.997 states/eV per atom. Number 5: DOS(E_F) 0.440 states/eV per atom. Number 6: DOS(E_F) 0.559 states/eV per atom. Number 7: DOS(E_F) 0.658 states/eV per atom. Number 8: DOS(E_F) 1.067 states/eV per atom.